# NdIn2Pt2

A geometry-optimized NdIn2Pt2 structure (PBE-GGA, Alexandria via LeMat-Bulk).

Structure (POSCAR):
```
NdIn2Pt2
1.0
4.763 0.000 0.000
0.000 5.297 -0.195
0.000 -1.731 9.073
In Pt Nd
4 4 2
Cartesian
3.572 0.934 1.132
3.572 2.614 4.098
1.191 0.952 4.780
1.191 2.633 7.746
1.191 0.044 8.946
1.191 3.647 5.218
3.572 -0.080 3.661
3.572 3.523 -0.068
3.572 -0.386 6.958
1.191 3.953 1.921
```

Results
* calculated total energy: -5.22 eV per atom
* SG: P2_1/m
* ΔH_f (0 K): -362 kJ/mol of formula units